Entry from Alexandria: a geometry-optimized Mn2ZnO structure (PBE with a Hubbard U).

Cell and atoms, written as extended XYZ:
```
4
Lattice="0.000 3.091 3.091 3.091 0.000 3.091 3.091 3.091 0.000" Properties=species:S:1:pos:R:3 pbc="T T T"
Mn 1.546 1.546 1.546
Mn 4.637 4.637 4.637
Zn 0.000 0.000 0.000
O 3.091 3.091 3.091
```

## Properties
Energy above the most stable polymorph in this dataset   590 meV/atom
Space group   Fm-3m, No. 225
DOS at the Fermi energy   0.7791 states/eV per atom
Total magnetization   2.281 μB per atom